Model i:
TlGaBi: optimized geometry, GGA-PBE.

a = 4.5840 Å, b = 5.1057 Å, c = 7.8085 Å
α = 90.00°, β = 107.18°, γ = 90.00°
With the nearest neighbours (Å) after each atom.
Positions (direct):
1 Tl 0.0718 0.2500 0.1514  4 Ga 3.39-3.71, 2 Tl 3.41, 5 Bi 3.52-3.79
2 Tl 0.9282 0.7500 0.8486  4 Ga 3.39-3.71, 2 Tl 3.41, 5 Bi 3.52-3.79
3 Ga 0.2541 0.7500 0.5120  4 Bi 2.98-3.08
4 Ga 0.7459 0.2500 0.4880  4 Bi 2.98-3.08
5 Bi 0.3751 0.2500 0.7435  4 Ga 2.98-3.08
6 Bi 0.6249 0.7500 0.2565  4 Ga 2.98-3.08

spin magnetization: 0.00 μB per cell
SG: P2_1/m, No. 11
calculated density: 9189 kg/m³



Model ii:
TlGaBi: optimized geometry, GGA-PBE.

a = 4.4259 Å, b = 4.4259 Å, c = 5.4488 Å
α = 90.00°, β = 90.00°, γ = 120.00°
With the nearest neighbours (Å) after each atom.
Positions (direct):
1 Tl 0.0000 0.0000 0.0000  3 Ga 3.15, 3 Bi 3.49
2 Ga 0.3333 0.6667 0.3383  3 Bi 2.83, 3 Tl 3.15
3 Bi 0.6667 0.3333 0.5629  3 Ga 2.83

spin magnetization: 0.00 μB per cell
SG: P3m1, No. 156
calculated density: 8679 kg/m³



Model iii:
TlGaBi: optimized geometry, GGA-PBE.

a = 5.0761 Å, b = 5.0761 Å, c = 5.0761 Å
α = 60.00°, β = 60.00°, γ = 60.00°
With the nearest neighbours (Å) after each atom.
Positions (direct):
1 Tl 0.0000 0.0000 0.0000  4 Ga 3.11
2 Ga 0.7500 0.7500 0.7500  4 Bi 3.11, 4 Tl 3.11
3 Bi 0.5000 0.5000 0.5000  4 Ga 3.11

spin magnetization: 0.00 μB per cell
SG: F-43m, No. 216
calculated density: 8674 kg/m³



Tell me which of them is the least stable. Sure, it is model iii.



Model i:
Tl3GaBi: optimized geometry, GGA-PBE.

a = 5.4679 Å, b = 5.4679 Å, c = 5.4679 Å
α = 90.00°, β = 90.00°, γ = 90.00°
With the nearest neighbours (Å) after each atom.
Positions (direct):
1 Tl 0.0000 0.0000 0.5000  2 Ga 2.73
2 Tl 0.0000 0.5000 0.0000  2 Ga 2.73
3 Tl 0.5000 0.0000 0.0000  2 Ga 2.73
4 Ga 0.0000 0.0000 0.0000  6 Tl 2.73
5 Bi 0.5000 0.5000 0.5000  12 Tl 3.87

spin magnetization: 0.00 μB per cell
SG: Pm-3m, No. 221
calculated density: 9059 kg/m³



Model ii:
Tl3GaBi: optimized geometry, GGA-PBE.

a = 6.0749 Å, b = 6.0749 Å, c = 6.0749 Å
α = 90.00°, β = 90.00°, γ = 90.00°
With the nearest neighbours (Å) after each atom.
Positions (direct):
1 Tl 0.0000 0.0000 0.5000  2 Bi 3.04
2 Tl 0.0000 0.5000 0.0000  2 Bi 3.04
3 Tl 0.5000 0.0000 0.0000  2 Bi 3.04
4 Ga 0.5000 0.5000 0.5000  12 Tl 4.30
5 Bi 0.0000 0.0000 0.0000  6 Tl 3.04

spin magnetization: 0.00 μB per cell
SG: Pm-3m, No. 221
calculated density: 6606 kg/m³



Model iii:
Tl3GaBi: optimized geometry, GGA-PBE.

a = 7.0213 Å, b = 7.2093 Å, c = 12.1377 Å
α = 90.00°, β = 92.53°, γ = 90.00°
With the nearest neighbours (Å) after each atom.
Positions (direct):
1 Tl 0.1397 0.2058 0.3919  1 Ga 3.08, 1 Tl 3.34, 2 Bi 3.37-3.38
2 Tl 0.1397 0.2942 0.8919  1 Ga 3.08, 1 Tl 3.34, 2 Bi 3.37-3.38
3 Tl 0.3008 0.5166 0.6285  2 Ga 3.09-3.22, 1 Bi 3.40, 1 Tl 3.43
4 Tl 0.3008 0.9834 0.1285  2 Ga 3.09-3.22, 1 Bi 3.40, 1 Tl 3.43
5 Tl 0.3027 0.0162 0.6967  2 Ga 2.99-3.24, 1 Bi 3.22, 1 Tl 3.34
6 Tl 0.3027 0.4838 0.1967  2 Ga 2.99-3.24, 1 Bi 3.22, 1 Tl 3.34
7 Tl 0.6973 0.5162 0.8033  2 Ga 2.99-3.24, 1 Bi 3.22, 1 Tl 3.34
8 Tl 0.6973 0.9838 0.3033  2 Ga 2.99-3.24, 1 Bi 3.22, 1 Tl 3.34
9 Tl 0.6992 0.0166 0.8715  2 Ga 3.09-3.22, 1 Bi 3.40, 1 Tl 3.43
10 Tl 0.6992 0.4834 0.3715  2 Ga 3.09-3.22, 1 Bi 3.40, 1 Tl 3.43
11 Tl 0.8603 0.7058 0.1081  1 Ga 3.08, 1 Tl 3.34, 2 Bi 3.37-3.38
12 Tl 0.8603 0.7942 0.6081  1 Ga 3.08, 1 Tl 3.34, 2 Bi 3.37-3.38
13 Ga 0.4708 0.6816 0.9817  1 Ga 2.68, 1 Bi 2.86, 1 Tl 2.99
14 Ga 0.4708 0.8184 0.4817  1 Ga 2.68, 1 Bi 2.86, 1 Tl 2.99
15 Ga 0.5292 0.1816 0.5183  1 Ga 2.68, 1 Bi 2.86, 1 Tl 2.99
16 Ga 0.5292 0.3184 0.0183  1 Ga 2.68, 1 Bi 2.86, 1 Tl 2.99
17 Bi 0.1061 0.7393 0.3777  1 Ga 2.86
18 Bi 0.1061 0.7607 0.8777  1 Ga 2.86
19 Bi 0.8939 0.2393 0.1223  1 Ga 2.86
20 Bi 0.8939 0.2607 0.6223  1 Ga 2.86

spin magnetization: 0.00 μB per cell
SG: P2_1/c, No. 14
calculated density: 9651 kg/m³



Tell me which of them is the least stable. Sure, it is model ii.



Model i:
Tm4GaBi: optimized geometry, GGA-PBE.

a = 7.9150 Å, b = 7.9150 Å, c = 6.1360 Å
α = 101.59°, β = 101.59°, γ = 113.82°
With the nearest neighbours (Å) after each atom.
Positions (direct):
1 Tm 0.0782 0.7148 0.9409  2 Ga 2.97-2.98, 2 Bi 3.24-3.31
2 Tm 0.1981 0.3783 0.6393  2 Ga 3.00-3.05, 1 Bi 3.20
3 Tm 0.2852 0.9218 0.5591  2 Ga 2.97-2.98, 2 Bi 3.24-3.31
4 Tm 0.3783 0.1981 0.1393  2 Ga 3.00-3.05, 1 Bi 3.20
5 Tm 0.6217 0.8019 0.8607  2 Ga 3.00-3.05, 1 Bi 3.20
6 Tm 0.7148 0.0782 0.4409  2 Ga 2.97-2.98, 2 Bi 3.24-3.31
7 Tm 0.8019 0.6217 0.3607  2 Ga 3.00-3.05, 1 Bi 3.20
8 Tm 0.9218 0.2852 0.0591  2 Ga 2.97-2.98, 2 Bi 3.24-3.31
9 Ga 0.0010 0.9990 0.2500  8 Tm 2.97-3.05, 2 Ga 3.07
10 Ga 0.9990 0.0010 0.7500  8 Tm 2.97-3.05, 2 Ga 3.07
11 Bi 0.3861 0.6139 0.2500  10 Tm 3.20-3.53
12 Bi 0.6139 0.3861 0.7500  10 Tm 3.20-3.53

spin magnetization: 0.00 μB per cell
SG: C2/c, No. 15
calculated density: 9694 kg/m³



Model ii:
Tm4GaBi: optimized geometry, GGA-PBE.

a = 9.7763 Å, b = 9.7763 Å, c = 9.7763 Å
α = 60.00°, β = 60.00°, γ = 60.00°
With the nearest neighbours (Å) after each atom.
Positions (direct):
1 Tm 0.1869 0.1869 0.8131  2 Ga 2.91
2 Tm 0.1869 0.8131 0.1869  2 Ga 2.91
3 Tm 0.1869 0.8131 0.8131  2 Ga 2.91
4 Tm 0.3621 0.3621 0.3621  3 Ga 2.99, 3 Bi 3.32
5 Tm 0.3621 0.3621 0.9137  3 Ga 2.99, 3 Bi 3.32
6 Tm 0.3621 0.9137 0.3621  3 Ga 2.99, 3 Bi 3.32
7 Tm 0.5599 0.5599 0.9401  2 Bi 3.08
8 Tm 0.5599 0.9401 0.5599  2 Bi 3.08
9 Tm 0.5599 0.9401 0.9401  2 Bi 3.08
10 Tm 0.8131 0.1869 0.1869  2 Ga 2.91
11 Tm 0.8131 0.1869 0.8131  2 Ga 2.91
12 Tm 0.8131 0.8131 0.1869  2 Ga 2.91
13 Tm 0.9137 0.3621 0.3621  3 Ga 2.99, 3 Bi 3.32
14 Tm 0.9401 0.5599 0.5599  2 Bi 3.08
15 Tm 0.9401 0.5599 0.9401  2 Bi 3.08
16 Tm 0.9401 0.9401 0.5599  2 Bi 3.08
17 Ga 0.1459 0.1459 0.1459  6 Tm 2.91-2.99
18 Ga 0.1459 0.1459 0.5623  6 Tm 2.91-2.99
19 Ga 0.1459 0.5623 0.1459  6 Tm 2.91-2.99
20 Ga 0.5623 0.1459 0.1459  6 Tm 2.91-2.99
21 Bi 0.2162 0.5946 0.5946  6 Tm 3.08-3.32
22 Bi 0.5946 0.2162 0.5946  6 Tm 3.08-3.32
23 Bi 0.5946 0.5946 0.2162  6 Tm 3.08-3.32
24 Bi 0.5946 0.5946 0.5946  6 Tm 3.08-3.32

spin magnetization: 0.00 μB per cell
SG: F-43m, No. 216
calculated density: 9595 kg/m³



Tell me which of them is the least stable. Sure, it is model ii.



Model i:
Tm2GaBi: optimized geometry, GGA-PBE.

a = 3.8841 Å, b = 3.8841 Å, c = 6.7471 Å
α = 90.00°, β = 90.00°, γ = 90.00°
With the nearest neighbours (Å) after each atom.
Positions (direct):
1 Tm 0.0000 0.0000 0.2413  4 Ga 3.19, 4 Bi 3.25, 2 Tm 3.26-3.49
2 Tm 0.0000 0.0000 0.7587  4 Ga 3.19, 4 Bi 3.25, 2 Tm 3.26-3.49
3 Ga 0.5000 0.5000 0.0000  8 Tm 3.19, 2 Bi 3.37
4 Bi 0.5000 0.5000 0.5000  8 Tm 3.25, 2 Ga 3.37

spin magnetization: 0.00 μB per cell
SG: P4/mmm, No. 123
calculated density: 10058 kg/m³



Model ii:
Tm2GaBi: optimized geometry, GGA-PBE.

a = 4.1775 Å, b = 4.1775 Å, c = 7.7653 Å
α = 105.51°, β = 105.51°, γ = 59.84°
With the nearest neighbours (Å) after each atom.
Positions (direct):
1 Tm 0.2469 0.2469 0.2406  3 Ga 2.99, 3 Bi 3.08
2 Tm 0.7531 0.7531 0.7594  3 Ga 2.99, 3 Bi 3.08
3 Ga 0.5000 0.5000 0.0000  6 Tm 2.99
4 Bi 0.0000 0.0000 0.5000  6 Tm 3.08

spin magnetization: 0.00 μB per cell
SG: C2/m, No. 12
calculated density: 9186 kg/m³



Tell me which of them is the least stable. Sure, it is model ii.